# TlHg2W

Crystalline TlHg2W at its relaxed geometry (GGA-PBE, Alexandria).

Calculated values
* offset from the most stable computed form: 8.8 meV/atom
* E_form: 2.698 eV per formula unit
* E: -3.31 eV per atom
* space group: Cmmm, No. 65

a b c (Å): 2.999 2.999 9.815
angles (deg): 90.00 90.00 89.90
Fractional positions:
Hg  0.000  0.000  0.964
Hg  0.000  0.000  0.536
Tl  0.500  0.500  0.250
W  0.500  0.500  0.750